# 1
VASP calculation (PBE-GGA) on Tc2OsCl after structural relaxation.

**DFT total energy**: -63.1 eV/cell
**Mass density**: 9.38 Mg/m³
**Formation energy without anion corrections**: 219 kJ/mol of formula units
**Crystal system**: monoclinic

Cell and atoms, written as CIF:
```
data_Tc2OsCl
_chemical_formula_sum 'Tc4 Os2 Cl2'
_space_group_name_H-M_alt 'C 1 2/m 1'
_space_group_IT_number 12
_cell_length_a 7.671
_cell_length_b 2.829
_cell_length_c 7.876
_cell_angle_alpha 90.00
_cell_angle_beta 119.08
_cell_angle_gamma 90.00
loop_
_space_group_symop_operation_xyz
'x,y,z'
'-x,-y,-z'
'-x,y,-z'
'x,-y,z'
'x+1/2,y+1/2,z'
'-x+1/2,-y+1/2,-z'
'-x+1/2,y+1/2,-z'
'x+1/2,-y+1/2,z'
loop_
_atom_site_label
_atom_site_type_symbol
_atom_site_fract_x
_atom_site_fract_y
_atom_site_fract_z
_atom_site_occupancy
Tc1 Tc 0.139 0.000 0.311 1
Os1 Os 0.000 0.500 0.500 1
Cl1 Cl 0.000 0.500 0.000 1
```

=====

# 2
VASP calculation (PBE-GGA) on GePdPt6 after structural relaxation.

**DFT total energy**: -188.5 eV/cell
**Mass density**: 17.94 Mg/m³
**ΔE_f**: -135 meV/atom
**Crystal system**: orthorhombic

Cell and atoms, written as CIF:
```
data_GePdPt6
_chemical_formula_sum 'Ge4 Pd4 Pt24'
_space_group_name_H-M_alt 'F m m m'
_space_group_IT_number 69
_space_group_name_Hall '-F 2 2'
_cell_length_a 5.552
_cell_length_b 7.707
_cell_length_c 11.674
_cell_angle_alpha 90.00
_cell_angle_beta 90.00
_cell_angle_gamma 90.00
loop_
_atom_site_label
_atom_site_type_symbol
_atom_site_fract_x
_atom_site_fract_y
_atom_site_fract_z
_atom_site_occupancy
Ge1 Ge 0.000 0.000 0.000 1
Pd1 Pd 0.000 0.000 0.500 1
Pt1 Pt 0.000 0.000 0.253 1
Pt2 Pt 0.250 0.250 0.123 1
```

=====

# 3
VASP calculation (PBE-GGA) on Pm2HoCd after structural relaxation.

**DFT total energy**: -45.6 eV/cell
**Mass density**: 7.52 Mg/m³
**ΔE_f**: -51 meV/atom
**Crystal system**: trigonal

Cell and atoms, written as CIF:
```
data_Pm2HoCd
_chemical_formula_sum 'Pm6 Ho3 Cd3'
_space_group_name_H-M_alt 'R 3 m'
_space_group_IT_number 160
_space_group_name_Hall 'R 3 -2"'
_cell_length_a 3.6329
_cell_length_b 3.6329
_cell_length_c 32.9027
_cell_angle_alpha 90.00
_cell_angle_beta 90.00
_cell_angle_gamma 120.00
loop_
_atom_site_label
_atom_site_type_symbol
_atom_site_fract_x
_atom_site_fract_y
_atom_site_fract_z
_atom_site_occupancy
Pm1 Pm 0.0000 0.0000 0.0000 1
Pm2 Pm 0.0000 0.0000 0.1752 1
Ho1 Ho 0.0000 0.0000 0.4208 1
Cd1 Cd 0.0000 0.0000 0.5876 1
```

=====

# 4
VASP calculation (PBE-GGA) on KNaTeBr6 after structural relaxation.

**DFT total energy**: -24.1 eV/cell
**Mass density**: 3.20 Mg/m³
**Formation energy without anion corrections**: -817 kJ/mol of formula units
**Crystal system**: trigonal

Cell and atoms, written as CIF:
```
data_KNaTeBr6
_chemical_formula_sum 'K1 Na1 Te1 Br6'
_space_group_name_H-M_alt 'P 3 1 2'
_space_group_IT_number 149
_cell_length_a 7.4725
_cell_length_b 7.4725
_cell_length_c 7.1861
_cell_angle_alpha 90.00
_cell_angle_beta 90.00
_cell_angle_gamma 120.00
loop_
_space_group_symop_operation_xyz
'x,y,z'
'-y,x-y,z'
'-x+y,-x,z'
'-y,-x,-z'
'-x+y,y,-z'
'x,x-y,-z'
loop_
_atom_site_label
_atom_site_type_symbol
_atom_site_fract_x
_atom_site_fract_y
_atom_site_fract_z
_atom_site_occupancy
K1 K 0.0000 0.0000 0.0000 1
Na1 Na 0.3333 0.6667 0.5000 1
Te1 Te 0.6667 0.3333 0.5000 1
Br1 Br 0.3796 0.0250 0.7223 1
```

=====

# 5
VASP calculation (PBE-GGA) on Nd2PuCu after structural relaxation.

**DFT total energy**: -79.7 eV/cell
**Mass density**: 8.48 Mg/m³
**ΔE_f**: 347 meV/atom
**Crystal system**: trigonal

Cell and atoms, written as CIF:
```
data_Nd2PuCu
_chemical_formula_sum 'Nd6 Pu3 Cu3'
_space_group_name_H-M_alt 'R -3 m'
_space_group_IT_number 166
_space_group_name_Hall '-R 3 2"'
_cell_length_a 3.4732
_cell_length_b 3.4732
_cell_length_c 33.5206
_cell_angle_alpha 90.00
_cell_angle_beta 90.00
_cell_angle_gamma 120.00
loop_
_atom_site_label
_atom_site_type_symbol
_atom_site_fract_x
_atom_site_fract_y
_atom_site_fract_z
_atom_site_occupancy
Nd1 Nd 0.0000 0.0000 0.1012 1
Pu1 Pu 0.0000 0.0000 0.0000 1
Cu1 Cu 0.0000 0.0000 0.5000 1
```

=====

# 6
VASP calculation (PBE-GGA) on Mg6In5Ga after structural relaxation.

**DFT total energy**: -54.5 eV/cell
**Mass density**: 4.70 Mg/m³
**ΔE_f**: -82 meV/atom
**Crystal system**: monoclinic

Cell and atoms, written as CIF:
```
data_Mg6In5Ga
_chemical_formula_sum 'Mg12 In10 Ga2'
_space_group_name_H-M_alt 'C 1 2/m 1'
_space_group_IT_number 12
_cell_length_a 9.740
_cell_length_b 9.899
_cell_length_c 5.910
_cell_angle_alpha 90.00
_cell_angle_beta 101.51
_cell_angle_gamma 90.00
loop_
_space_group_symop_operation_xyz
'x,y,z'
'-x,-y,-z'
'-x,y,-z'
'x,-y,z'
'x+1/2,y+1/2,z'
'-x+1/2,-y+1/2,-z'
'-x+1/2,y+1/2,-z'
'x+1/2,-y+1/2,z'
loop_
_atom_site_label
_atom_site_type_symbol
_atom_site_fract_x
_atom_site_fract_y
_atom_site_fract_z
_atom_site_occupancy
Mg1 Mg 0.246 0.000 0.260 1
Mg2 Mg 0.246 0.163 0.748 1
In1 In 0.000 0.165 0.000 1
In2 In 0.000 0.330 0.500 1
In3 In 0.000 0.500 0.000 1
Ga1 Ga 0.000 0.000 0.500 1
```

=====

# 7
VASP calculation (PBE-GGA) on Tb6Dy3Tm2Mg after structural relaxation.

**DFT total energy**: -103.6 eV/cell
**Mass density**: 8.09 Mg/m³
**ΔE_f**: 29 meV/atom
**Crystal system**: monoclinic

Cell and atoms, written as CIF:
```
data_Tb6Dy3Tm2Mg
_chemical_formula_sum 'Tb12 Dy6 Tm4 Mg2'
_space_group_name_H-M_alt 'C 1 2/m 1'
_space_group_IT_number 12
_cell_length_a 6.114
_cell_length_b 10.596
_cell_length_c 11.608
_cell_angle_alpha 90.00
_cell_angle_beta 100.20
_cell_angle_gamma 90.00
loop_
_space_group_symop_operation_xyz
'x,y,z'
'-x,-y,-z'
'-x,y,-z'
'x,-y,z'
'x+1/2,y+1/2,z'
'-x+1/2,-y+1/2,-z'
'-x+1/2,y+1/2,-z'
'x+1/2,-y+1/2,z'
loop_
_atom_site_label
_atom_site_type_symbol
_atom_site_fract_x
_atom_site_fract_y
_atom_site_fract_z
_atom_site_occupancy
Tb1 Tb 0.248 0.000 0.248 1
Tb2 Tb 0.248 0.333 0.247 1
Dy1 Dy 0.000 0.000 0.500 1
Dy2 Dy 0.000 0.334 0.500 1
Tm1 Tm 0.000 0.166 0.000 1
Mg1 Mg 0.000 0.500 0.000 1
```

=====

# 8
VASP calculation (PBE-GGA) on TlTcAu2 after structural relaxation.

**DFT total energy**: -17.3 eV/cell
**Mass density**: 15.37 Mg/m³
**ΔE_f**: 491 meV/atom
**Crystal system**: orthorhombic

Cell and atoms, written as CIF:
```
data_TlTcAu2
_chemical_formula_sum 'Tl1 Tc1 Au2'
_space_group_name_H-M_alt 'P m m 2'
_space_group_IT_number 25
_cell_length_a 3.021
_cell_length_b 3.999
_cell_length_c 6.228
_cell_angle_alpha 90.00
_cell_angle_beta 90.00
_cell_angle_gamma 90.00
loop_
_space_group_symop_operation_xyz
'x,y,z'
'-x,-y,z'
'-x,y,z'
'x,-y,z'
loop_
_atom_site_label
_atom_site_type_symbol
_atom_site_fract_x
_atom_site_fract_y
_atom_site_fract_z
_atom_site_occupancy
Tl1 Tl 0.000 0.000 0.000 1
Tc1 Tc 0.500 0.500 0.752 1
Au1 Au 0.000 0.000 0.521 1
Au2 Au 0.500 0.500 0.282 1
```

=====

# 9
VASP calculation (PBE-GGA) on KAlHg2Cl4 after structural relaxation.

**DFT total energy**: -23.0 eV/cell
**Mass density**: 3.34 Mg/m³
**Formation energy without anion corrections**: -978 kJ/mol of formula units
**Crystal system**: triclinic

Cell and atoms, written as CIF:
```
data_KAlHg2Cl4
_chemical_formula_sum 'K1 Al1 Hg2 Cl4'
_space_group_name_H-M_alt 'P 1'
_space_group_IT_number 1
_cell_length_a 6.438
_cell_length_b 7.135
_cell_length_c 7.569
_cell_angle_alpha 95.73
_cell_angle_beta 105.24
_cell_angle_gamma 112.06
loop_
_space_group_symop_operation_xyz
'x,y,z'
loop_
_atom_site_label
_atom_site_type_symbol
_atom_site_fract_x
_atom_site_fract_y
_atom_site_fract_z
_atom_site_occupancy
K1 K 0.000 0.000 0.000 1
Al1 Al 0.589 0.254 0.700 1
Hg1 Hg 0.068 0.514 0.287 1
Hg2 Hg 0.648 0.701 0.305 1
Cl1 Cl 0.344 0.100 0.421 1
Cl2 Cl 0.482 0.066 0.897 1
Cl3 Cl 0.594 0.556 0.776 1
Cl4 Cl 0.938 0.283 0.714 1
```

=====

# 10
VASP calculation (PBE-GGA) on TlSn2GeCl after structural relaxation.

**DFT total energy**: -16.1 eV/cell
**Mass density**: 5.83 Mg/m³
**Formation energy without anion corrections**: 68 kJ/mol of formula units
**Crystal system**: tetragonal

Cell and atoms, written as CIF:
```
data_TlSn2GeCl
_chemical_formula_sum 'Tl1 Sn2 Ge1 Cl1'
_space_group_name_H-M_alt 'P 4/m m m'
_space_group_IT_number 123
_space_group_name_Hall '-P 4 2'
_cell_length_a 5.507
_cell_length_b 5.507
_cell_length_c 5.164
_cell_angle_alpha 90.00
_cell_angle_beta 90.00
_cell_angle_gamma 90.00
loop_
_atom_site_label
_atom_site_type_symbol
_atom_site_fract_x
_atom_site_fract_y
_atom_site_fract_z
_atom_site_occupancy
Tl1 Tl 0.000 0.000 0.000 1
Sn1 Sn 0.000 0.500 0.500 1
Ge1 Ge 0.500 0.500 0.500 1
Cl1 Cl 0.500 0.500 0.000 1
```